# 1
{"formula": "Rb2IF", "functional": "PBE-GGA", "state": "optimized geometry", "lattice_angstrom": [[7.5360, 0.0000, 0.0000], [0.0000, 7.5360, 0.0000], [-0.0038, 0.0000, 10.6275]], "species": ["Rb", "Rb", "Rb", "Rb", "Rb", "Rb", "Rb", "Rb", "I", "I", "I", "I", "F", "F", "F", "F"], "frac_coords": [[0.0000, 0.2500, 0.0000], [0.0000, 0.7500, 0.0000], [0.2503, 0.0000, 0.3342], [0.2497, 0.5000, 0.6658], [0.5000, 0.2500, 0.0000], [0.5000, 0.7500, 0.0000], [0.7497, 0.0000, 0.6658], [0.7503, 0.5000, 0.3342], [0.2496, 0.0000, 0.6902], [0.2504, 0.5000, 0.3098], [0.7504, 0.0000, 0.3098], [0.7496, 0.5000, 0.6902], [0.2501, 0.0000, 0.0824], [0.2499, 0.5000, 0.9176], [0.7499, 0.0000, 0.9176], [0.7501, 0.5000, 0.0824]], "sg": "No. 12", "magmom_total_mub_per_atom": 0.000, "e_above_lowest_polymorph_mev_per_atom": 0, "e_form_raw_ev_per_atom": -2.08}


# 2
{"formula": "Rb2IF", "functional": "PBE-GGA", "state": "optimized geometry", "lattice_angstrom": [[4.5743, 0.0000, 0.0000], [-2.2872, 3.9615, 0.0000], [0.0000, 0.0000, 23.6852]], "species": ["Rb", "Rb", "Rb", "Rb", "Rb", "Rb", "I", "I", "I", "F", "F", "F"], "frac_coords": [[0.0000, 0.0000, 0.2300], [0.0000, 0.0000, 0.7700], [0.3333, 0.6667, 0.4367], [0.3333, 0.6667, 0.8967], [0.6667, 0.3333, 0.1033], [0.6667, 0.3333, 0.5633], [0.0000, 0.0000, 0.0000], [0.3333, 0.6667, 0.6667], [0.6667, 0.3333, 0.3333], [0.0000, 0.0000, 0.5000], [0.3333, 0.6667, 0.1667], [0.6667, 0.3333, 0.8333]], "sg": "No. 166", "magmom_total_mub_per_atom": 0.000, "e_above_lowest_polymorph_mev_per_atom": 85, "e_form_raw_ev_per_atom": -1.99}


# 3
{"formula": "RbI3F", "functional": "PBE-GGA", "state": "optimized geometry", "lattice_angstrom": [[5.5496, 0.0000, 0.0000], [0.0000, 5.5496, 0.0000], [0.0000, 0.0000, 5.5496]], "species": ["Rb", "I", "I", "I", "F"], "frac_coords": [[0.0000, 0.0000, 0.0000], [0.0000, 0.5000, 0.5000], [0.5000, 0.0000, 0.5000], [0.5000, 0.5000, 0.0000], [0.5000, 0.5000, 0.5000]], "sg": "No. 221", "magmom_total_mub_per_atom": 0.000, "e_above_lowest_polymorph_mev_per_atom": 101, "e_form_raw_ev_per_atom": -0.56}


# 4
{"formula": "Rb2IF", "functional": "PBE-GGA", "state": "optimized geometry", "lattice_angstrom": [[8.2834, 0.0000, 0.0000], [0.0000, 8.2834, 0.0000], [0.0000, 0.0000, 8.2834]], "species": ["Rb", "Rb", "Rb", "Rb", "Rb", "Rb", "Rb", "Rb", "I", "I", "I", "I", "F", "F", "F", "F"], "frac_coords": [[0.2500, 0.2500, 0.2500], [0.2500, 0.2500, 0.7500], [0.2500, 0.7500, 0.2500], [0.2500, 0.7500, 0.7500], [0.7500, 0.2500, 0.2500], [0.7500, 0.2500, 0.7500], [0.7500, 0.7500, 0.2500], [0.7500, 0.7500, 0.7500], [0.0000, 0.0000, 0.0000], [0.0000, 0.5000, 0.5000], [0.5000, 0.0000, 0.5000], [0.5000, 0.5000, 0.0000], [0.0000, 0.0000, 0.5000], [0.0000, 0.5000, 0.0000], [0.5000, 0.0000, 0.0000], [0.5000, 0.5000, 0.5000]], "sg": "No. 225", "magmom_total_mub_per_atom": 0.000, "e_above_lowest_polymorph_mev_per_atom": 261, "e_form_raw_ev_per_atom": -1.82}


# 5
{"formula": "RbIF", "functional": "PBE-GGA", "state": "optimized geometry", "lattice_angstrom": [[10.6424, 0.0000, 0.0000], [0.0000, 4.2676, 0.0000], [-1.4038, 0.0000, 8.3147]], "species": ["Rb", "Rb", "Rb", "Rb", "I", "I", "I", "I", "F", "F", "F", "F"], "frac_coords": [[0.1382, 0.2408, 0.1565], [0.1382, 0.2592, 0.6565], [0.8618, 0.7408, 0.3435], [0.8618, 0.7592, 0.8435], [0.3776, 0.6155, 0.9647], [0.3776, 0.8845, 0.4647], [0.6224, 0.1155, 0.5353], [0.6224, 0.3845, 0.0353], [0.1274, 0.7388, 0.3997], [0.1274, 0.7612, 0.8997], [0.8726, 0.2388, 0.1003], [0.8726, 0.2612, 0.6003]], "sg": "No. 14", "magmom_total_mub_per_atom": 0.000, "e_form_raw_ev_per_atom": -1.75}


# 6
{"formula": "Rb2IF", "functional": "PBE-GGA", "state": "optimized geometry", "lattice_angstrom": [[8.2478, 0.0000, 0.0000], [0.0000, 8.2478, 0.0000], [0.0000, 0.0000, 9.4224]], "species": ["Rb", "Rb", "Rb", "Rb", "Rb", "Rb", "Rb", "Rb", "I", "I", "I", "I", "F", "F", "F", "F"], "frac_coords": [[0.1564, 0.2500, 0.1250], [0.2500, 0.6564, 0.3750], [0.2500, 0.8436, 0.8750], [0.3436, 0.2500, 0.6250], [0.6564, 0.7500, 0.6250], [0.7500, 0.1564, 0.8750], [0.7500, 0.3436, 0.3750], [0.8436, 0.7500, 0.1250], [0.0000, 0.0000, 0.5000], [0.0000, 0.5000, 0.7500], [0.5000, 0.0000, 0.2500], [0.5000, 0.5000, 0.0000], [0.0000, 0.0000, 0.0000], [0.0000, 0.5000, 0.2500], [0.5000, 0.0000, 0.7500], [0.5000, 0.5000, 0.5000]], "sg": "No. 122", "magmom_total_mub_per_atom": 0.000, "e_above_lowest_polymorph_mev_per_atom": 49, "e_form_raw_ev_per_atom": -2.03}